Below is a relaxed structure of Zr4MnCo, with properties calculated at the PBE level.

Cell: 7.9531 7.9531 7.9531 Å, 90.00 90.00 90.00°
Last column: nearest neighbours and their distance in Å.
Space group F-43m (No. 216)
Unique sites:
Zr  0.1251  0.1251  0.1251  6 Zr 2.81
Mn  0.0000  0.0000  0.5000  12 Zr 3.30, 4 Co 3.44
Co  0.2500  0.2500  0.7500  12 Zr 3.30, 4 Mn 3.44

Relative energy among the computed polymorphs = 0.858 eV per atom
Formation energy = 0.723 eV per atom
VASP energy = -7.6888 eV/atom